Material: ZrBe2Si
Method: DFT, PBE
State: optimized geometry

Summary:
Theoretical density (g cm⁻³): 4.19
Calculated total energy (eV per atom): -5.404

a = 3.0312 Å, b = 3.0312 Å, c = 6.0049 Å
α = 90.00°, β = 90.00°, γ = 99.48°
Closest atoms and distances in Å follow each position.
Positions (direct):
Zr (0.0000, 0.0000, 0.0000)  4 Si 2.71-2.97, 5 Be 2.71-2.97, 4 Zr 3.03
Be (0.0000, 0.0000, 0.5258)  2 Be 2.19, 2 Si 2.34
Be (0.5000, 0.5000, 0.6885)  2 Be 2.19, 1 Si 2.27
Si (0.5000, 0.5000, 0.3113)  3 Be 2.27-2.34